(1)
DFT (GGA-PBE) results for NdErCu2Si2 after structural relaxation.

Unit cell a=4.156 b=4.156 c=7.677 alpha=90.00 beta=90.00 gamma=120.00
Sites, in units of the cell vectors:
1 Nd 0.000 0.000 0.000
2 Si 0.667 0.333 0.263
3 Si 0.333 0.667 0.737
4 Cu 0.667 0.333 0.733
5 Cu 0.333 0.667 0.267
6 Er 0.000 0.000 0.500

(2)
DFT (GGA-PBE) results for K2TbF6 after structural relaxation.

Unit cell a=5.825 b=5.825 c=8.563 alpha=90.00 beta=90.00 gamma=120.00
Last column: magnetic moment on the atom in μB.
Sites, in units of the cell vectors:
1 F 0.860 0.140 0.880  0.17
2 F 0.502 0.004 0.140  0.15
3 F 0.280 0.140 0.880  0.14
4 F 0.720 0.860 0.380  0.15
5 F 0.140 0.860 0.380  0.16
6 F 0.498 0.996 0.640  0.13
7 F 0.996 0.498 0.140  0.08
8 F 0.860 0.720 0.880  0.18
9 F 0.140 0.280 0.380  0.17
10 F 0.004 0.502 0.640  0.11
11 F 0.498 0.502 0.640  0.17
12 F 0.502 0.498 0.140  0.19
13 Tb 0.667 0.333 0.972  0.03
14 Tb 0.333 0.667 0.472  0.03
15 K 0.000 0.000 0.637  0.00
16 K 0.000 0.000 0.137  0.00
17 K 0.333 0.667 0.892  0.00
18 K 0.667 0.333 0.392  0.00

(3)
DFT (GGA-PBE) results for Er2Lu5Ni2Te2 after structural relaxation.

Unit cell a=9.185 b=9.185 c=9.185 alpha=156.11 beta=67.34 gamma=118.09
Sites, in units of the cell vectors:
1 Lu 0.947 0.582 0.365
2 Lu 0.501 0.001 0.500
3 Lu 0.874 0.728 0.146
4 Lu 0.217 0.582 0.635
5 Lu 0.582 0.728 0.854
6 Te 0.839 0.339 0.500
7 Te 0.233 0.233 0.000
8 Ni 0.807 0.071 0.737
9 Ni 0.334 0.071 0.263
10 Er 0.191 0.377 0.815
11 Er 0.562 0.377 0.185

(4)
DFT (GGA-PBE) results for FePd13 after structural relaxation.

ΔE_f = 0.039 eV/atom

Unit cell a=6.711 b=6.711 c=5.261 alpha=99.66 beta=99.66 gamma=70.47
Last column: magnetic moment on the atom in μB.
Sites, in units of the cell vectors:
1 Pd 0.618 0.217 0.180  0.30
2 Pd 0.225 0.225 0.875  0.31
3 Pd 0.390 0.390 0.583  0.31
4 Pd 0.650 0.001 0.696  0.31
5 Pd 0.775 0.775 0.125  0.31
6 Pd 0.000 0.000 0.500  0.35
7 Pd 0.217 0.618 0.180  0.30
8 Pd 0.783 0.382 0.820  0.30
9 Pd 0.350 0.999 0.304  0.31
10 Pd 0.382 0.783 0.820  0.30
11 Pd 0.999 0.350 0.304  0.32
12 Pd 0.610 0.610 0.417  0.31
13 Pd 0.001 0.650 0.696  0.32
14 Fe 0.000 0.000 0.000  3.29

(5)
DFT (GGA-PBE) results for Li3Tc2O6 after structural relaxation.

Unit cell a=4.973 b=4.973 c=5.048 alpha=98.43 beta=98.43 gamma=118.59
Last column: magnetic moment on the atom in μB.
Sites, in units of the cell vectors:
1 Li 0.500 0.500 0.000  0.00
2 Li 0.666 0.334 0.500  0.00
3 Li 0.334 0.666 0.500  0.00
4 Tc 0.141 0.859 0.000  0.36
5 Tc 0.859 0.141 0.000  0.36
6 O 0.254 0.254 0.264  -0.01
7 O 0.080 0.440 0.782  0.04
8 O 0.746 0.746 0.736  -0.01
9 O 0.920 0.560 0.218  0.04
10 O 0.440 0.080 0.782  0.04
11 O 0.560 0.920 0.218  0.04

(6)
DFT (GGA-PBE) results for ScInHg2 after structural relaxation.

Unit cell a=5.014 b=6.419 c=6.419 alpha=60.12 beta=90.00 gamma=90.00
Sites, in units of the cell vectors:
1 In 0.000 0.328 0.834
2 In 0.000 0.834 0.328
3 Hg 0.500 0.173 0.173
4 Hg 0.500 0.173 0.660
5 Hg 0.500 0.660 0.173
6 Hg 0.000 0.827 0.827
7 Sc 0.000 0.334 0.334
8 Sc 0.500 0.671 0.671

(7)
DFT (GGA-PBE) results for Ba2SiGeIr2 after structural relaxation.

Unit cell a=4.184 b=4.184 c=9.894 alpha=90.00 beta=90.00 gamma=90.00
Sites, in units of the cell vectors:
1 Ba 0.500 0.500 0.707
2 Ba 0.000 0.000 0.293
3 Ir 0.500 0.000 0.005
4 Ir 0.000 0.500 0.005
5 Ge 0.000 0.000 0.866
6 Si 0.500 0.500 0.124

(8)
DFT (GGA-PBE) results for NaZrAsO after structural relaxation.

Unit cell a=3.729 b=3.729 c=9.570 alpha=90.00 beta=90.00 gamma=90.00
Sites, in units of the cell vectors:
1 Zr 0.250 0.250 0.125
2 Zr 0.750 0.750 0.875
3 O 0.750 0.250 0.000
4 O 0.250 0.750 0.000
5 As 0.250 0.250 0.727
6 As 0.750 0.750 0.273
7 Na 0.750 0.250 0.500
8 Na 0.250 0.750 0.500

(9)
DFT (GGA-PBE) results for GaCoAgAu after structural relaxation.

Unit cell a=4.446 b=4.446 c=4.446 alpha=60.00 beta=60.00 gamma=60.00
Last column: magnetic moment on the atom in μB.
Sites, in units of the cell vectors:
1 Co 0.750 0.750 0.750  1.27
2 Ag 0.500 0.500 0.500  -0.01
3 Au 0.250 0.250 0.250  0.01
4 Ga 0.000 0.000 0.000  -0.04

(10)
DFT (GGA-PBE) results for TcPIrO after structural relaxation.

Unit cell a=2.891 b=7.064 c=5.263 alpha=90.00 beta=90.00 gamma=90.00
Sites, in units of the cell vectors:
1 Ir 0.000 0.584 0.487
2 Ir 0.000 0.416 0.987
3 Tc 0.500 0.954 0.036
4 Tc 0.500 0.046 0.536
5 P 0.000 0.274 0.381
6 P 0.000 0.726 0.881
7 O 0.500 0.207 0.850
8 O 0.500 0.793 0.350

(11)
DFT (GGA-PBE) results for Lu2BIr after structural relaxation.

Unit cell a=4.517 b=4.517 c=4.517 alpha=60.00 beta=60.00 gamma=60.00
Sites, in units of the cell vectors:
1 Lu 0.750 0.750 0.750
2 Lu 0.000 0.000 0.000
3 Ir 0.250 0.250 0.250
4 B 0.500 0.500 0.500

(12)
DFT (GGA-PBE) results for Nb3AuN after structural relaxation.

Unit cell a=4.271 b=4.271 c=4.271 alpha=90.00 beta=90.00 gamma=90.00
Sites, in units of the cell vectors:
1 Nb 0.000 0.500 0.000
2 Nb 0.500 0.000 0.000
3 Nb 0.000 0.000 0.500
4 Au 0.500 0.500 0.500
5 N 0.000 0.000 0.000

(13)
DFT (GGA-PBE) results for RbLaZnS3 after structural relaxation.

Unit cell a=11.162 b=4.183 c=14.462 alpha=90.00 beta=90.00 gamma=90.00
Sites, in units of the cell vectors:
1 Zn 0.766 0.250 0.212
2 Zn 0.734 0.750 0.712
3 Zn 0.234 0.750 0.788
4 Zn 0.266 0.250 0.288
5 La 0.514 0.750 0.236
6 La 0.486 0.250 0.764
7 La 0.986 0.250 0.736
8 La 0.014 0.750 0.264
9 S 0.760 0.750 0.307
10 S 0.949 0.250 0.136
11 S 0.099 0.250 0.382
12 S 0.051 0.750 0.864
13 S 0.901 0.750 0.618
14 S 0.401 0.750 0.882
15 S 0.260 0.750 0.193
16 S 0.449 0.250 0.364
17 S 0.599 0.250 0.118
18 S 0.740 0.250 0.807
19 S 0.551 0.750 0.636
20 S 0.240 0.250 0.693
21 Rb 0.284 0.750 0.508
22 Rb 0.216 0.250 0.008
23 Rb 0.716 0.250 0.492
24 Rb 0.784 0.750 0.992

(14)
DFT (GGA-PBE) results for DyTmIn2Ir4 after structural relaxation.

Unit cell a=4.551 b=4.551 c=8.852 alpha=90.00 beta=90.00 gamma=120.00
Sites, in units of the cell vectors:
1 Ir 0.333 0.667 0.147
2 Ir 0.333 0.667 0.853
3 Ir 0.000 0.000 0.356
4 Ir 0.000 0.000 0.644
5 In 0.667 0.333 0.250
6 In 0.667 0.333 0.750
7 Dy 0.000 0.000 0.000
8 Tm 0.333 0.667 0.500

(15)
DFT (GGA-PBE) results for Gd4C2IBr after structural relaxation.

Unit cell a=3.759 b=3.759 c=14.628 alpha=90.00 beta=90.00 gamma=120.00
Sites, in units of the cell vectors:
1 Br 0.000 0.000 0.000
2 C 0.667 0.333 0.758
3 C 0.667 0.333 0.242
4 Gd 0.333 0.667 0.845
5 Gd 0.000 0.000 0.668
6 Gd 0.000 0.000 0.332
7 Gd 0.333 0.667 0.155
8 I 0.333 0.667 0.500

(16)
DFT (GGA-PBE) results for SmZnNO after structural relaxation.

Unit cell a=3.733 b=5.333 c=6.045 alpha=90.00 beta=90.00 gamma=90.00
Sites, in units of the cell vectors:
1 N 0.000 0.427 0.675
2 N 0.000 0.927 0.325
3 Zn 0.500 0.982 0.200
4 Zn 0.500 0.482 0.800
5 Sm 0.000 0.979 0.705
6 Sm 0.000 0.479 0.295
7 O 0.500 0.365 0.125
8 O 0.500 0.865 0.875

(17)
DFT (GGA-PBE) results for PrY2Se3 after structural relaxation.

Unit cell a=4.120 b=4.120 c=10.234 alpha=90.00 beta=90.00 gamma=120.00
Sites, in units of the cell vectors:
1 Se 0.333 0.667 0.180
2 Se 0.000 0.000 0.500
3 Se 0.667 0.333 0.820
4 Y 0.667 0.333 0.336
5 Y 0.333 0.667 0.664
6 Pr 0.000 0.000 0.000

(18)
DFT (GGA-PBE) results for SrPtW after structural relaxation.

Unit cell a=4.864 b=4.864 c=4.864 alpha=60.00 beta=60.00 gamma=60.00
Sites, in units of the cell vectors:
1 W 0.750 0.750 0.750
2 Sr 0.000 0.000 0.000
3 Pt 0.250 0.250 0.250

(19)
DFT (GGA-PBE) results for Re2SnB2 after structural relaxation.

Unit cell a=8.946 b=6.806 c=6.660 alpha=83.26 beta=49.07 gamma=47.67
Sites, in units of the cell vectors:
1 Sn 0.000 0.000 0.000
2 Sn 0.250 0.250 0.250
3 Re 0.785 0.215 0.785
4 Re 0.465 0.035 0.465
5 Re 0.215 0.785 0.215
6 Re 0.035 0.465 0.035
7 B 0.125 0.125 0.125
8 B 0.125 0.125 0.625
9 B 0.625 0.125 0.125
10 B 0.125 0.625 0.125

(20)
DFT (GGA-PBE) results for NiSb4S7 after structural relaxation.

Unit cell a=8.387 b=8.387 c=11.607 alpha=132.42 beta=132.42 gamma=29.78
Sites, in units of the cell vectors:
1 S 0.087 0.087 0.721
2 S 0.811 0.811 0.826
3 S 0.500 0.500 0.000
4 S 0.637 0.637 0.400
5 S 0.363 0.363 0.600
6 S 0.189 0.189 0.174
7 S 0.913 0.913 0.279
8 Sb 0.783 0.783 0.366
9 Sb 0.576 0.576 0.841
10 Sb 0.217 0.217 0.634
11 Sb 0.424 0.424 0.159
12 Ni 0.000 0.000 0.000

(21)
DFT (GGA-PBE) results for UI3 after structural relaxation.

Unit cell a=4.208 b=8.038 c=10.027 alpha=90.00 beta=90.00 gamma=74.83
Last column: magnetic moment on the atom in μB.
Sites, in units of the cell vectors:
1 U 0.262 0.475 0.750  2.86
2 U 0.738 0.525 0.250  2.86
3 I 0.655 0.690 0.932  -0.04
4 I 0.089 0.821 0.250  -0.04
5 I 0.345 0.310 0.432  -0.04
6 I 0.345 0.310 0.068  -0.04
7 I 0.911 0.179 0.750  -0.04
8 I 0.655 0.690 0.568  -0.04

(22)
DFT (GGA-PBE) results for Sm2Y2BBr5 after structural relaxation.

Unit cell a=9.256 b=9.256 c=8.390 alpha=102.46 beta=102.46 gamma=24.75
Sites, in units of the cell vectors:
1 Br 0.826 0.826 0.159
2 Br 0.167 0.167 0.330
3 Br 0.174 0.174 0.841
4 Br 0.500 0.500 0.500
5 Br 0.833 0.833 0.670
6 Y 0.358 0.358 0.925
7 Y 0.642 0.642 0.075
8 Sm 0.001 0.001 0.789
9 Sm 0.999 0.999 0.211
10 B 0.500 0.500 0.000

(23)
DFT (GGA-PBE) results for PmDyHo after structural relaxation.

ΔE_f = 0.714 eV/atom

Unit cell a=5.436 b=5.436 c=5.436 alpha=60.00 beta=60.00 gamma=60.00
Sites, in units of the cell vectors:
1 Dy 0.250 0.250 0.250
2 Ho 0.000 0.000 0.000
3 Pm 0.750 0.750 0.750

(24)
DFT (GGA-PBE) results for DyIr3O after structural relaxation.

Unit cell a=4.264 b=4.264 c=4.264 alpha=90.00 beta=90.00 gamma=90.00
Sites, in units of the cell vectors:
1 Ir 0.500 0.000 0.500
2 Ir 0.000 0.500 0.500
3 Ir 0.500 0.500 0.000
4 Dy 0.000 0.000 0.000
5 O 0.500 0.500 0.500

| no. | total magnetization (μB per formula unit) | electronic total energy (eV per atom) |
| --- | --- | --- |
| 1 | 0.00 | -5.251 |
| 2 | 1.00 | -4.879 |
| 3 | 0.00 | -5.136 |
| 4 | 7.25 | -5.360 |
| 5 | 0.92 | -6.787 |
| 6 | 0.00 | -2.654 |
| 7 | 0.33 | -5.924 |
| 8 | 0.01 | -6.346 |
| 9 | 1.18 | -3.925 |
| 10 | 0.01 | -7.726 |
| 11 | 0.00 | -6.091 |
| 12 | 0.00 | -8.889 |
| 13 | 0.00 | -4.785 |
| 14 | 0.07 | -6.686 |
| 15 | 0.02 | -5.892 |
| 16 | 0.00 | -6.321 |
| 17 | 0.00 | -6.488 |
| 18 | 4.12 | -5.069 |
| 19 | 0.00 | -7.376 |
| 20 | 0.22 | -4.321 |
| 21 | 3.00 | -4.803 |
| 22 | 0.00 | -5.158 |
| 23 | 0.01 | -3.927 |
| 24 | 0.07 | -7.147 |